First-principles (GGA-PBE) data for a relaxed structure of KBPt3, as listed in the Alexandria database.

Cell: 24.829 4.076 9.557 Å, 90.00 157.74 90.00°
Fractional coordinates of all 20 atoms:
K 0.443 0.500 0.007
K 0.943 0.000 0.507
K 0.057 0.000 0.493
K 0.557 0.500 0.993
Pt 0.159 0.500 0.490
Pt 0.642 0.500 0.759
Pt 0.358 0.500 0.241
Pt 0.201 0.500 0.204
Pt 0.841 0.500 0.510
Pt 0.341 0.000 0.010
Pt 0.701 0.000 0.704
Pt 0.659 0.000 0.990
Pt 0.799 0.500 0.796
Pt 0.858 0.000 0.741
Pt 0.299 0.000 0.296
Pt 0.142 0.000 0.259
B 0.569 0.000 0.561
B 0.431 0.000 0.439
B 0.069 0.500 0.061
B 0.931 0.500 0.939

Properties
The volume is 366.4 Å³ per cell. The value obtained for the energy is -5.353 eV per atom. The calculation puts the formation energy from the elements at -0.174 eV/atom.